No. 1
DFT (PBE) results for a relaxed La2Y6Th3 crystal.

Cell lengths 6.039, 11.106, 11.440 Å; angles 90.00, 97.28, 90.00 degrees
Space group C2/m (No. 12)
Asymmetric unit:
La 0.000 0.141 0.000 x4
Y 0.090 0.339 0.243 x8
Y 0.099 0.000 0.268 x4
Th 0.000 0.172 0.500 x4
Th 0.000 0.500 0.500 x2

Results
E_tot = -6.291 eV/atom
M_tot = 0.000 μB/cell


No. 2
DFT (PBE) results for a relaxed La2Y2Th3 crystal.

Cell lengths 3.562, 37.246, 3.574 Å; angles 90.00, 90.00, 90.00 degrees
Space group Cmmm (No. 65)
Asymmetric unit:
La 0.000 0.209 0.000 x4
Y 0.000 0.365 0.500 x4
Th 0.000 0.067 0.000 x4
Th 0.000 0.500 0.500 x2

Results
E_tot = -6.363 eV/atom
M_tot = 0.000 μB/cell